Compound: SmBiTeO6
Source: Alexandria
Functional: PBE
Structure: optimized geometry

a = 5.734 Å, b = 5.734 Å, c = 9.486 Å
α = 90.00°, β = 90.00°, γ = 120.00°
Element x y z (fractional)
Sm1 0.333 0.667 0.250
Sm2 0.667 0.333 0.750
Bi1 0.000 0.000 0.000
Bi2 0.000 0.000 0.500
Te1 0.333 0.667 0.750
Te2 0.667 0.333 0.250
O1 0.049 0.381 0.635
O2 0.049 0.668 0.865
O3 0.332 0.381 0.865
O4 0.332 0.951 0.635
O5 0.381 0.049 0.135
O6 0.381 0.332 0.365
O7 0.619 0.668 0.635
O8 0.619 0.951 0.865
O9 0.668 0.049 0.365
O10 0.668 0.619 0.135
O11 0.951 0.332 0.135
O12 0.951 0.619 0.365



Compound: SmBi2TeO8
Source: Alexandria
Functional: PBE
Structure: optimized geometry

a = 5.160 Å, b = 5.160 Å, c = 6.965 Å
α = 90.00°, β = 90.00°, γ = 90.45°
Element x y z (fractional)
Sm1 0.000 0.000 0.000
Bi1 0.500 0.500 0.255
Bi2 0.500 0.500 0.745
Te1 0.000 0.000 0.500
O1 0.180 0.180 0.286
O2 0.180 0.180 0.714
O3 0.267 0.733 0.500
O4 0.315 0.685 0.000
O5 0.685 0.315 0.000
O6 0.733 0.267 0.500
O7 0.820 0.820 0.286
O8 0.820 0.820 0.714



Compound: Sm2BiTeO8
Source: Alexandria
Functional: PBE
Structure: optimized geometry

a = 5.124 Å, b = 5.124 Å, c = 6.980 Å
α = 90.00°, β = 90.00°, γ = 92.12°
Element x y z (fractional)
Sm1 0.000 0.000 0.241
Sm2 0.000 0.000 0.759
Bi1 0.500 0.500 0.500
Te1 0.500 0.500 0.000
O1 0.195 0.195 0.500
O2 0.227 0.227 0.000
O3 0.321 0.679 0.214
O4 0.321 0.679 0.786
O5 0.679 0.321 0.214
O6 0.679 0.321 0.786
O7 0.773 0.773 0.000
O8 0.805 0.805 0.500



Compound: SmBi2TeO4
Source: Alexandria
Functional: PBE
Structure: optimized geometry

a = 3.930 Å, b = 3.930 Å, c = 10.196 Å
α = 90.00°, β = 90.00°, γ = 90.00°
Element x y z (fractional)
Sm1 0.000 0.000 0.000
Bi1 0.500 0.500 0.251
Bi2 0.500 0.500 0.749
Te1 0.000 0.000 0.500
O1 0.000 0.500 0.141
O2 0.000 0.500 0.859
O3 0.500 0.000 0.141
O4 0.500 0.000 0.859



Compound: Sm2TiBiO6
Source: Alexandria
Functional: PBE
Structure: optimized geometry

a = 5.394 Å, b = 5.394 Å, c = 5.506 Å
α = 90.00°, β = 90.00°, γ = 90.00°
Element x y z (fractional)
Sm1 0.000 0.500 0.000
Sm2 0.500 0.000 0.000
Ti1 0.000 0.000 0.622
Bi1 0.500 0.500 0.525
O1 0.000 0.000 0.289
O2 0.233 0.233 0.764
O3 0.233 0.767 0.764
O4 0.500 0.500 0.122
O5 0.767 0.233 0.764
O6 0.767 0.767 0.764



Compound: Sm4TlBi3O12
Source: Alexandria
Functional: PBE
Structure: optimized geometry

a = 7.589 Å, b = 7.589 Å, c = 7.589 Å
α = 109.47°, β = 109.47°, γ = 109.47°
Element x y z (fractional)
Sm1 0.000 0.000 0.500
Sm2 0.000 0.500 0.000
Sm3 0.500 0.000 0.000
Sm4 0.500 0.500 0.500
Tl1 0.000 0.000 0.000
Bi1 0.000 0.500 0.500
Bi2 0.500 0.000 0.500
Bi3 0.500 0.500 0.000
O1 0.135 0.319 0.816
O2 0.184 0.502 0.319
O3 0.184 0.865 0.681
O4 0.319 0.184 0.502
O5 0.319 0.816 0.135
O6 0.498 0.681 0.816
O7 0.502 0.319 0.184
O8 0.681 0.184 0.865
O9 0.681 0.816 0.498
O10 0.816 0.135 0.319
O11 0.816 0.498 0.681
O12 0.865 0.681 0.184



Compound: Sm2Tl2BiO6
Source: Alexandria
Functional: PBE
Structure: optimized geometry

a = 6.180 Å, b = 6.180 Å, c = 6.849 Å
α = 98.88°, β = 98.88°, γ = 119.76°
Element x y z (fractional)
Sm1 0.165 0.835 0.000
Sm2 0.835 0.165 0.000
Tl1 0.331 0.669 0.500
Tl2 0.669 0.331 0.500
Bi1 0.500 0.500 0.000
O1 0.115 0.445 0.827
O2 0.239 0.239 0.176
O3 0.445 0.115 0.827
O4 0.555 0.885 0.173
O5 0.761 0.761 0.824
O6 0.885 0.555 0.173



Compound: SmTlBi2O6
Source: Alexandria
Functional: PBE
Structure: optimized geometry

a = 6.217 Å, b = 6.217 Å, c = 6.217 Å
α = 58.63°, β = 58.63°, γ = 58.63°
Element x y z (fractional)
Sm1 0.000 0.000 0.000
Tl1 0.500 0.500 0.500
Bi1 0.286 0.286 0.286
Bi2 0.782 0.782 0.782
O1 0.118 0.673 0.367
O2 0.177 0.624 0.858
O3 0.367 0.118 0.673
O4 0.624 0.858 0.177
O5 0.673 0.367 0.118
O6 0.858 0.177 0.624



Compound: Sm4TlBiO
Source: Alexandria
Functional: PBE
Structure: optimized geometry

a = 9.466 Å, b = 9.466 Å, c = 6.543 Å
α = 90.00°, β = 90.00°, γ = 139.09°
Element x y z (fractional)
Sm1 0.000 0.500 0.000
Sm2 0.000 0.500 0.500
Sm3 0.065 0.935 0.750
Sm4 0.419 0.581 0.750
Sm5 0.500 0.000 0.000
Sm6 0.500 0.000 0.500
Sm7 0.581 0.419 0.250
Sm8 0.935 0.065 0.250
Tl1 0.113 0.887 0.250
Tl2 0.887 0.113 0.750
Bi1 0.390 0.610 0.250
Bi2 0.610 0.390 0.750
O1 0.287 0.713 0.750
O2 0.713 0.287 0.250



Compound: SmTmBi2O6
Source: Alexandria
Functional: PBE
Structure: optimized geometry

a = 6.176 Å, b = 6.176 Å, c = 6.176 Å
α = 58.62°, β = 58.62°, γ = 58.62°
Element x y z (fractional)
Sm1 0.000 0.000 0.000
Tm1 0.495 0.495 0.495
Bi1 0.283 0.283 0.283
Bi2 0.784 0.784 0.784
O1 0.129 0.673 0.365
O2 0.188 0.624 0.849
O3 0.365 0.129 0.673
O4 0.624 0.849 0.188
O5 0.673 0.365 0.129
O6 0.849 0.188 0.624



Compound: Sm2TmBi2O2
Source: Alexandria
Functional: PBE
Structure: optimized geometry

a = 4.334 Å, b = 4.334 Å, c = 16.783 Å
α = 90.00°, β = 90.00°, γ = 90.00°
Element x y z (fractional)
Sm1 0.000 0.000 0.109
Sm2 0.000 0.000 0.891
Sm3 0.500 0.500 0.391
Sm4 0.500 0.500 0.609
Tm1 0.000 0.000 0.500
Tm2 0.500 0.500 0.000
Bi1 0.000 0.000 0.310
Bi2 0.000 0.000 0.690
Bi3 0.500 0.500 0.190
Bi4 0.500 0.500 0.810
O1 0.000 0.500 0.000
O2 0.000 0.500 0.500
O3 0.500 0.000 0.000
O4 0.500 0.000 0.500



E_tot readings, ordered: -0.46664 -0.45205 -0.49174 -0.45427 -0.56100 -0.49126 -0.45821 -0.44595 -0.40185 -0.51642 -0.46948 Ry/atom
Energy relative to the elements, uncorrected readings, ordered: -167.8 -148.9 -194.2 -168.7 -244.7 -199.2 -182.2 -155.1 -112.9 -227.3 -180.9 kJ/mol of atoms